No. 1
## CuSnTe (PBE)

Data for crystalline CuSnTe at its relaxed geometry.

## Properties
Magnetic moment = 0.0 μB/f.u.
Raw total energy = -3.48 eV per atom

Geometry as CIF:
```
data_CuSnTe
_space_group_name_H-M_alt 'I 4 m m'
_space_group_IT_number 107
_space_group_name_Hall 'I 4 -2'
_cell_length_a 3.8669
_cell_length_b 3.8669
_cell_length_c 9.4538
_cell_angle_alpha 90.00
_cell_angle_beta 90.00
_cell_angle_gamma 90.00
loop_
_atom_site_label
_atom_site_type_symbol
_atom_site_fract_x
_atom_site_fract_y
_atom_site_fract_z
_atom_site_occupancy
Cu1 Cu 0.0000 0.0000 0.0000 1
Sn1 Sn 0.0000 0.0000 0.6264 1
Te1 Te 0.0000 0.0000 0.3037 1
```


No. 2
## RbCd2BiW (PBE)

Data for crystalline RbCd2BiW at its relaxed geometry.

## Properties
Magnetic moment = 0.7 μB/f.u.
Formation energy = 0.45 eV per atom
Raw total energy = -3.48 eV per atom

Geometry as CIF:
```
data_RbCd2BiW
_space_group_name_H-M_alt 'P 4/m m m'
_space_group_IT_number 123
_space_group_name_Hall '-P 4 2'
_cell_length_a 5.5358
_cell_length_b 5.5358
_cell_length_c 5.3425
_cell_angle_alpha 90.00
_cell_angle_beta 90.00
_cell_angle_gamma 90.00
loop_
_atom_site_label
_atom_site_type_symbol
_atom_site_fract_x
_atom_site_fract_y
_atom_site_fract_z
_atom_site_occupancy
Rb1 Rb 0.0000 0.0000 0.0000 1
Cd1 Cd 0.0000 0.5000 0.5000 1
Bi1 Bi 0.5000 0.5000 0.0000 1
W1 W 0.5000 0.5000 0.5000 1
```


No. 3
## Rb2BeGaO4 (PBE)

Data for crystalline Rb2BeGaO4 at its relaxed geometry.

## Properties
Magnetic moment = 1.0 μB/f.u.
Raw total energy = -5.22 eV per atom

Geometry as CIF:
```
data_Rb2BeGaO4
_space_group_name_H-M_alt 'F d d d'
_space_group_IT_number 70
_cell_length_a 4.7009
_cell_length_b 11.7176
_cell_length_c 21.4077
_cell_angle_alpha 90.00
_cell_angle_beta 90.00
_cell_angle_gamma 90.00
loop_
_space_group_symop_operation_xyz
'x,y,z'
'-x,-y,-z'
'-x+1/4,-y+1/4,z'
'x+1/4,y+1/4,-z'
'x,-y+1/4,-z+1/4'
'-x,y+1/4,z+1/4'
'-x+1/4,y,-z+1/4'
'x+1/4,-y,z+1/4'
'x,y+1/2,z+1/2'
'-x,-y+1/2,-z+1/2'
'-x+1/4,-y+3/4,z+1/2'
'x+1/4,y+3/4,-z+1/2'
'x,-y+3/4,-z+3/4'
'-x,y+3/4,z+3/4'
'-x+1/4,y+1/2,-z+3/4'
'x+1/4,-y+1/2,z+3/4'
'x+1/2,y,z+1/2'
'-x+1/2,-y,-z+1/2'
'-x+3/4,-y+1/4,z+1/2'
'x+3/4,y+1/4,-z+1/2'
'x+1/2,-y+1/4,-z+3/4'
'-x+1/2,y+1/4,z+3/4'
'-x+3/4,y,-z+3/4'
'x+3/4,-y,z+3/4'
'x+1/2,y+1/2,z'
'-x+1/2,-y+1/2,-z'
'-x+3/4,-y+3/4,z'
'x+3/4,y+3/4,-z'
'x+1/2,-y+3/4,-z+1/4'
'-x+1/2,y+3/4,z+1/4'
'-x+3/4,y+1/2,-z+1/4'
'x+3/4,-y+1/2,z+1/4'
loop_
_atom_site_label
_atom_site_type_symbol
_atom_site_fract_x
_atom_site_fract_y
_atom_site_fract_z
_atom_site_occupancy
Rb1 Rb 0.1250 0.1250 0.2984 1
Be1 Be 0.1250 0.1250 0.6250 1
Ga1 Ga 0.1250 0.1250 0.1250 1
O1 O 0.0940 0.2941 0.8325 1
```